Entry 1:
Here is a relaxed NbTcSb2 crystal from Alexandria via LeMat-Bulk. Energies are from PBE-GGA.

Output
Fermi-level density of states = 9.76 states/eV/cell
Uncorrected energy = -0.24542 Ha/atom
ρ = 8.4 g/cm³
ΔE_f (raw) = 492 meV/atom
Total moment = 0.6 μB per formula unit
Relative energy among the computed polymorphs = 378 meV/atom

Lattice parameters (Å, degrees): 4.241 4.241 9.962 77.71 77.71 90.00
Each line ends with the local moment (μB).
Sites, in units of the cell vectors:
Sb 0.635 0.125 0.250  0.01
Sb 0.115 0.625 0.250  0.01
Sb 0.375 0.365 0.750  0.01
Sb 0.875 0.885 0.750  0.01
Nb 0.500 0.500 0.000  -0.07
Nb 0.250 0.750 0.500  -0.07
Tc 0.000 0.000 0.000  0.60
Tc 0.750 0.250 0.500  0.61


Entry 2:
Here is a relaxed Nb3TcSb crystal from Alexandria via LeMat-Bulk. Energies are from PBE-GGA.

Output
Fermi-level density of states = 8.25 states/eV/cell
Uncorrected energy = -0.29730 Ha/atom
ρ = 7.3 g/cm³
ΔE_f (raw) = 850 meV/atom
Total moment = 0.0 μB per formula unit
Relative energy among the computed polymorphs = 0 meV/atom

Lattice parameters (Å, degrees): 4.837 4.837 4.837 90.00 90.00 90.00
Sites, in units of the cell vectors:
Sb 0.500 0.500 0.500
Nb 0.000 0.500 0.000
Nb 0.000 0.000 0.500
Nb 0.500 0.000 0.000
Tc 0.000 0.000 0.000


Entry 3:
Here is a relaxed Nb3TcSb crystal from Alexandria via LeMat-Bulk. Energies are from PBE-GGA.

Output
Fermi-level density of states = 5.59 states/eV/cell
Uncorrected energy = -0.25999 Ha/atom
ρ = 6.7 g/cm³
ΔE_f (raw) = 1865 meV/atom
Total moment = 1.0 μB per formula unit
Relative energy among the computed polymorphs = 1015 meV/atom

Lattice parameters (Å, degrees): 4.970 4.970 4.970 90.00 90.00 90.00
Each line ends with the local moment (μB).
Sites, in units of the cell vectors:
Sb 0.000 0.000 0.000  0.01
Nb 0.000 0.500 0.000  -0.44
Nb 0.000 0.000 0.500  -0.37
Nb 0.500 0.000 0.000  -0.50
Tc 0.500 0.500 0.500  2.36


Entry 4:
Here is a relaxed NbTc2Sb crystal from Alexandria via LeMat-Bulk. Energies are from PBE-GGA.

Output
Fermi-level density of states = 1.16 states/eV/cell
Uncorrected energy = -0.32551 Ha/atom
ρ = 10.3 g/cm³
ΔE_f (raw) = -127 meV/atom
Total moment = 0.0 μB per formula unit

Lattice parameters (Å, degrees): 3.275 4.500 4.500 90.00 90.00 90.00
Sites, in units of the cell vectors:
Sb 0.500 0.500 0.500
Nb 0.500 0.000 0.000
Tc 0.000 0.000 0.500
Tc 0.000 0.500 0.000


Entry 5:
Here is a relaxed Nb2TcSb crystal from Alexandria via LeMat-Bulk. Energies are from PBE-GGA.

Output
Fermi-level density of states = 7.75 states/eV/cell
Uncorrected energy = -0.30018 Ha/atom
ρ = 8.7 g/cm³
ΔE_f (raw) = 489 meV/atom
Total moment = 0.3 μB per formula unit

Lattice parameters (Å, degrees): 3.973 3.973 10.217 78.79 78.79 90.00
Each line ends with the local moment (μB).
Sites, in units of the cell vectors:
Sb 0.000 0.000 0.000  0.00
Sb 0.750 0.250 0.500  0.00
Nb 0.631 0.125 0.250  0.00
Nb 0.119 0.625 0.250  0.00
Nb 0.375 0.369 0.750  0.00
Nb 0.875 0.881 0.750  -0.01
Tc 0.500 0.500 0.000  0.25
Tc 0.250 0.750 0.500  0.25


Entry 6:
Here is a relaxed NbTcSb crystal from Alexandria via LeMat-Bulk. Energies are from PBE-GGA.

Output
Fermi-level density of states = 4.80 states/eV/cell
Uncorrected energy = -0.28894 Ha/atom
ρ = 8.1 g/cm³
ΔE_f (raw) = 324 meV/atom
Total moment = 0.0 μB per formula unit

Lattice parameters (Å, degrees): 3.199 5.773 7.260 90.00 90.00 106.08
Sites, in units of the cell vectors:
Tc 0.479 0.957 0.000
Tc 0.274 0.548 0.500
Nb 0.851 0.702 0.759
Nb 0.851 0.702 0.241
Sb 0.106 0.212 0.759
Sb 0.106 0.212 0.241


Entry 7:
Here is a relaxed NbTc2Sb crystal from Alexandria via LeMat-Bulk. Energies are from PBE-GGA.

Output
Fermi-level density of states = 11.49 states/eV/cell
Uncorrected energy = -0.29999 Ha/atom
ρ = 9.0 g/cm³
ΔE_f (raw) = 568 meV/atom
Total moment = 0.0 μB per formula unit

Lattice parameters (Å, degrees): 4.075 4.075 9.595 77.74 77.74 90.00
Sites, in units of the cell vectors:
Sb 0.000 0.000 0.000
Sb 0.750 0.250 0.500
Nb 0.500 0.500 0.000
Nb 0.250 0.750 0.500
Tc 0.576 0.125 0.250
Tc 0.174 0.625 0.250
Tc 0.375 0.424 0.750
Tc 0.875 0.826 0.750


Entry 8:
Here is a relaxed NbTcSb2 crystal from Alexandria via LeMat-Bulk. Energies are from PBE-GGA.

Output
Fermi-level density of states = 6.39 states/eV/cell
Uncorrected energy = -0.25930 Ha/atom
ρ = 9.6 g/cm³
ΔE_f (raw) = 114 meV/atom
Total moment = 0.7 μB per formula unit
Relative energy among the computed polymorphs = 0 meV/atom

Lattice parameters (Å, degrees): 4.737 4.737 4.737 60.00 60.00 60.00
Each line ends with the local moment (μB).
Sites, in units of the cell vectors:
Sb 0.250 0.250 0.250  -0.01
Sb 0.750 0.750 0.750  -0.01
Nb 0.000 0.000 0.000  0.29
Tc 0.500 0.500 0.500  0.34


Entry 9:
Here is a relaxed NbTc2Sb crystal from Alexandria via LeMat-Bulk. Energies are from PBE-GGA.

Output
Fermi-level density of states = 1.24 states/eV/cell
Uncorrected energy = -0.32415 Ha/atom
ρ = 10.2 g/cm³
ΔE_f (raw) = -90 meV/atom
Total moment = 0.0 μB per formula unit

Lattice parameters (Å, degrees): 3.257 3.257 6.323 90.00 90.00 90.00
Sites, in units of the cell vectors:
Sb 0.500 0.500 0.500
Nb 0.500 0.500 0.000
Tc 0.000 0.000 0.753
Tc 0.000 0.000 0.247


Entry 10:
Here is a relaxed Nb4SbTe3 crystal from Alexandria via LeMat-Bulk. Energies are from PBE-GGA.

Output
Fermi-level density of states = 13.94 states/eV/cell
Uncorrected energy = -0.25646 Ha/atom
ρ = 7.6 g/cm³
ΔE_f (raw) = -250 meV/atom
Total moment = 0.0 μB per formula unit

Lattice parameters (Å, degrees): 5.036 7.583 10.072 90.00 90.00 90.00
Sites, in units of the cell vectors:
Nb 0.064 0.604 0.000
Nb 0.564 0.403 0.000
Nb 0.064 0.400 0.252
Nb 0.564 0.600 0.248
Nb 0.064 0.597 0.500
Nb 0.564 0.396 0.500
Nb 0.564 0.600 0.752
Nb 0.064 0.400 0.748
Sb 0.064 0.210 0.000
Sb 0.564 0.790 0.500
Te 0.564 0.795 0.000
Te 0.064 0.791 0.253
Te 0.564 0.209 0.247
Te 0.064 0.205 0.500
Te 0.564 0.209 0.753
Te 0.064 0.791 0.747


Entry 11:
Here is a relaxed NbSbTe2 crystal from Alexandria via LeMat-Bulk. Energies are from PBE-GGA.

Output
Fermi-level density of states = 8.61 states/eV/cell
Uncorrected energy = -0.17230 Ha/atom
ρ = 5.4 g/cm³
ΔE_f (raw) = 430 meV/atom
Total moment = 0.5 μB per formula unit

Lattice parameters (Å, degrees): 7.053 7.053 7.671 62.63 62.63 90.00
Each line ends with the local moment (μB).
Sites, in units of the cell vectors:
Sb 0.000 0.000 0.000  -0.03
Sb 0.750 0.250 0.500  -0.04
Nb 0.500 0.500 0.000  0.51
Nb 0.250 0.750 0.500  0.51
Te 0.576 0.125 0.250  -0.03
Te 0.174 0.625 0.250  -0.02
Te 0.375 0.424 0.750  -0.03
Te 0.875 0.826 0.750  -0.03


Entry 12:
Here is a relaxed NbSb2Te crystal from Alexandria via LeMat-Bulk. Energies are from PBE-GGA.

Output
Fermi-level density of states = 8.73 states/eV/cell
Uncorrected energy = -0.17707 Ha/atom
ρ = 5.3 g/cm³
ΔE_f (raw) = 546 meV/atom
Total moment = 0.0 μB per formula unit

Lattice parameters (Å, degrees): 6.651 6.651 8.098 65.75 65.75 90.00
Sites, in units of the cell vectors:
Sb 0.575 0.125 0.250
Sb 0.175 0.625 0.250
Sb 0.375 0.425 0.750
Sb 0.875 0.825 0.750
Nb 0.500 0.500 0.000
Nb 0.250 0.750 0.500
Te 0.000 0.000 0.000
Te 0.750 0.250 0.500


Entry 13:
Here is a relaxed NbSbTe crystal from Alexandria via LeMat-Bulk. Energies are from PBE-GGA.

Output
Fermi-level density of states = 4.78 states/eV/cell
Uncorrected energy = -0.22159 Ha/atom
ρ = 7.8 g/cm³
ΔE_f (raw) = -252 meV/atom
Total moment = 0.0 μB per formula unit
Relative energy among the computed polymorphs = 0 meV/atom

Lattice parameters (Å, degrees): 3.695 6.011 7.341 111.44 104.61 89.93
Sites, in units of the cell vectors:
Nb 0.048 0.090 0.513
Nb 0.291 0.250 0.000
Sb 0.660 0.906 0.736
Sb 0.679 0.435 0.777
Te 0.956 0.447 0.329
Te 0.383 0.893 0.184


Entry 14:
Here is a relaxed NbSbTe crystal from Alexandria via LeMat-Bulk. Energies are from PBE-GGA.

Output
Fermi-level density of states = 6.29 states/eV/cell
Uncorrected energy = -0.21747 Ha/atom
ρ = 7.9 g/cm³
ΔE_f (raw) = -140 meV/atom
Total moment = 0.0 μB per formula unit
Relative energy among the computed polymorphs = 112 meV/atom

Lattice parameters (Å, degrees): 5.788 7.368 6.933 102.73 90.00 90.00
Sites, in units of the cell vectors:
Sb 0.868 0.896 0.141
Sb 0.632 0.896 0.641
Sb 0.132 0.104 0.859
Sb 0.368 0.104 0.359
Nb 0.405 0.808 0.974
Nb 0.595 0.192 0.026
Nb 0.905 0.192 0.526
Nb 0.095 0.808 0.474
Te 0.419 0.566 0.235
Te 0.581 0.434 0.765
Te 0.081 0.566 0.735
Te 0.919 0.434 0.265


Entry 15:
Here is a relaxed NbSbTe2 crystal from Alexandria via LeMat-Bulk. Energies are from PBE-GGA.

Output
Fermi-level density of states = 1.85 states/eV/cell
Uncorrected energy = -0.19391 Ha/atom
ρ = 6.9 g/cm³
ΔE_f (raw) = -158 meV/atom
Total moment = 0.0 μB per formula unit

Lattice parameters (Å, degrees): 10.169 10.169 10.169 20.45 20.45 20.45
Sites, in units of the cell vectors:
Sb 0.000 0.000 0.000
Nb 0.500 0.500 0.500
Te 0.896 0.896 0.896
Te 0.104 0.104 0.104


Entry 16:
Here is a relaxed NbSbTe2 crystal from Alexandria via LeMat-Bulk. Energies are from PBE-GGA.

Output
Fermi-level density of states = 4.63 states/eV/cell
Uncorrected energy = -0.16839 Ha/atom
ρ = 7.2 g/cm³
ΔE_f (raw) = 537 meV/atom
Total moment = 0.4 μB per formula unit

Lattice parameters (Å, degrees): 12.929 12.929 12.929 13.90 13.90 13.90
Each line ends with the local moment (μB).
Sites, in units of the cell vectors:
Sb 0.500 0.500 0.500  0.18
Nb 0.000 0.000 0.000  0.02
Te 0.925 0.925 0.925  0.00
Te 0.075 0.075 0.075  0.00


Entry 17:
Here is a relaxed Nb2SbTe crystal from Alexandria via LeMat-Bulk. Energies are from PBE-GGA.

Output
Fermi-level density of states = 8.09 states/eV/cell
Uncorrected energy = -0.25442 Ha/atom
ρ = 9.0 g/cm³
ΔE_f (raw) = -72 meV/atom
Total moment = 0.0 μB per formula unit
Relative energy among the computed polymorphs = 0 meV/atom

Lattice parameters (Å, degrees): 4.843 4.843 4.843 60.00 60.00 60.00
Sites, in units of the cell vectors:
Sb 0.000 0.000 0.000
Nb 0.250 0.250 0.250
Nb 0.750 0.750 0.750
Te 0.500 0.500 0.500


Entry 18:
Here is a relaxed NbSb3Te crystal from Alexandria via LeMat-Bulk. Energies are from PBE-GGA.

Output
Fermi-level density of states = 15.47 states/eV/cell
Uncorrected energy = -0.13196 Ha/atom
ρ = 5.7 g/cm³
ΔE_f (raw) = 1525 meV/atom
Total moment = 0.0 μB per formula unit
Relative energy among the computed polymorphs = 1185 meV/atom

Lattice parameters (Å, degrees): 5.541 5.541 5.541 90.00 90.00 90.00
Sites, in units of the cell vectors:
Sb 0.000 0.500 0.000
Sb 0.000 0.000 0.500
Sb 0.500 0.000 0.000
Nb 0.500 0.500 0.500
Te 0.000 0.000 0.000


Entry 19:
Here is a relaxed NbSb3Te crystal from Alexandria via LeMat-Bulk. Energies are from PBE-GGA.

Output
Fermi-level density of states = 4.31 states/eV/cell
Uncorrected energy = -0.17552 Ha/atom
ρ = 6.3 g/cm³
ΔE_f (raw) = 339 meV/atom
Total moment = 0.0 μB per formula unit
Relative energy among the computed polymorphs = 0 meV/atom

Lattice parameters (Å, degrees): 5.360 5.360 5.360 90.00 90.00 90.00
Sites, in units of the cell vectors:
Sb 0.000 0.500 0.000
Sb 0.000 0.000 0.500
Sb 0.500 0.000 0.000
Nb 0.000 0.000 0.000
Te 0.500 0.500 0.500


Entry 20:
Here is a relaxed NbSbTe2 crystal from Alexandria via LeMat-Bulk. Energies are from PBE-GGA.

Output
Fermi-level density of states = 4.50 states/eV/cell
Uncorrected energy = -0.19040 Ha/atom
ρ = 7.7 g/cm³
ΔE_f (raw) = -62 meV/atom
Total moment = 0.0 μB per formula unit

Lattice parameters (Å, degrees): 4.666 5.513 8.719 90.00 90.00 115.16
Sites, in units of the cell vectors:
Nb 0.775 0.550 0.750
Nb 0.225 0.450 0.250
Sb 0.917 0.833 0.250
Sb 0.083 0.167 0.750
Te 0.354 0.706 0.557
Te 0.646 0.294 0.443
Te 0.354 0.706 0.943
Te 0.646 0.294 0.057